Record 1
First-principles (PBE) data for a geometry-optimized GdErLu2 structure, as listed in Alexandria via LeMat-Bulk.

Cell lengths 4.9591, 4.9591, 4.9278 Å; angles 90.00, 90.00, 90.00 degrees
Atoms (fractional coordinates):
Gd 0.0000 0.0000 0.0000
Er 0.5000 0.5000 0.0000
Lu 0.0000 0.5000 0.5000
Lu 0.5000 0.0000 0.5000

Results
**Polymorph energy (0 for the lowest one)**: 0.00 eV/f.u.
**Raw total energy**: -6.890 eV/atom
**DOS(E_F)**: 6.99 states/eV per cell
**Crystal system**: tetragonal

Record 2
First-principles (PBE) data for a geometry-optimized Tb2Sm5Hg4 structure, as listed in Alexandria via LeMat-Bulk.

Cell lengths 11.0460, 11.0460, 8.5344 Å; angles 101.94, 101.94, 19.47 degrees
Atoms (fractional coordinates):
Tb 0.0713 0.0713 0.1445
Tb 0.9287 0.9287 0.8555
Sm 0.0000 0.0000 0.5000
Sm 0.3232 0.3232 0.0564
Sm 0.3474 0.3474 0.5136
Sm 0.6526 0.6526 0.4864
Sm 0.6768 0.6768 0.9436
Hg 0.2162 0.2162 0.2575
Hg 0.4621 0.4621 0.2032
Hg 0.5379 0.5379 0.7968
Hg 0.7838 0.7838 0.7425

Results
**Raw total energy**: -3.296 eV/atom
**DOS(E_F)**: 14.08 states/eV per cell
**Crystal system**: monoclinic

Record 3
First-principles (PBE) data for a geometry-optimized DyMgAl structure, as listed in Alexandria via LeMat-Bulk.

Cell lengths 4.8064, 4.8064, 7.0075 Å; angles 90.00, 90.00, 120.00 degrees
Atoms (fractional coordinates):
Dy 0.0000 0.0000 0.2384
Dy 0.0000 0.0000 0.7616
Mg 0.3333 0.6667 0.5010
Mg 0.6667 0.3333 0.4990
Al 0.3333 0.6667 0.9992
Al 0.6667 0.3333 0.0008

Results
**Raw total energy**: -3.519 eV/atom
**DOS(E_F)**: 5.95 states/eV per cell
**Crystal system**: trigonal

Record 4
First-principles (PBE) data for a geometry-optimized Ba2TlHgS4 structure, as listed in Alexandria via LeMat-Bulk.

Cell lengths 8.7485, 8.7485, 8.6084 Å; angles 114.26, 114.26, 99.74 degrees
Atoms (fractional coordinates):
Ba 0.0000 0.0000 0.0000
Ba 0.0000 0.0000 0.5000
Ba 0.0000 0.5000 0.0000
Ba 0.5000 0.0000 0.5000
Tl 0.5000 0.5000 0.0000
Tl 0.5000 0.5000 0.5000
Hg 0.0000 0.5000 0.5000
Hg 0.5000 0.0000 0.0000
S 0.2000 0.7078 0.4786
S 0.2381 0.2714 0.9859
S 0.2714 0.2381 0.4859
S 0.2922 0.8000 0.0214
S 0.7078 0.2000 0.9786
S 0.7286 0.7619 0.5141
S 0.7619 0.7286 0.0141
S 0.8000 0.2922 0.5214

Results
**Raw total energy**: -3.884 eV/atom
**DOS(E_F)**: 6.16 states/eV per cell
**Uncorrected formation energy**: -1.006 eV/atom
**Crystal system**: monoclinic

Record 5
First-principles (PBE) data for a geometry-optimized Hf8BAs2 structure, as listed in Alexandria via LeMat-Bulk.

Cell lengths 8.2114, 8.2114, 7.6720 Å; angles 95.03, 95.03, 24.86 degrees
Atoms (fractional coordinates):
Hf 0.0127 0.0127 0.2105
Hf 0.2063 0.2063 0.3507
Hf 0.3509 0.3509 0.9826
Hf 0.4108 0.4108 0.4769
Hf 0.5892 0.5892 0.5231
Hf 0.6491 0.6491 0.0174
Hf 0.7937 0.7937 0.6493
Hf 0.9873 0.9873 0.7895
B 0.5000 0.5000 0.0000
As 0.1773 0.1773 0.7550
As 0.8227 0.8227 0.2450

Results
**Raw total energy**: -9.199 eV/atom
**DOS(E_F)**: 6.66 states/eV per cell
**Crystal system**: monoclinic

Record 6
First-principles (PBE) data for a geometry-optimized YMn2Ge structure, as listed in Alexandria via LeMat-Bulk.

Cell lengths 4.2459, 4.2459, 17.3911 Å; angles 90.00, 90.00, 90.00 degrees
Atoms (fractional coordinates):
Y 0.0000 0.0000 0.0000
Y 0.0000 0.5000 0.2500
Y 0.5000 0.0000 0.7500
Y 0.5000 0.5000 0.5000
Mn 0.0688 0.2500 0.6250
Mn 0.2500 0.5688 0.8750
Mn 0.2500 0.9312 0.3750
Mn 0.4312 0.2500 0.1250
Mn 0.5688 0.7500 0.1250
Mn 0.7500 0.0688 0.3750
Mn 0.7500 0.4312 0.8750
Mn 0.9312 0.7500 0.6250
Ge 0.0000 0.0000 0.5000
Ge 0.0000 0.5000 0.7500
Ge 0.5000 0.0000 0.2500
Ge 0.5000 0.5000 0.0000

Results
**Raw total energy**: -7.152 eV/atom
**DOS(E_F)**: 16.03 states/eV per cell
**Crystal system**: tetragonal

Record 7
First-principles (PBE) data for a geometry-optimized Eu3NiN structure, as listed in Alexandria via LeMat-Bulk.

Cell lengths 4.9445, 4.9445, 4.9445 Å; angles 90.00, 90.00, 90.00 degrees
Atoms (fractional coordinates):
Eu 0.0000 0.0000 0.5000
Eu 0.0000 0.5000 0.0000
Eu 0.5000 0.0000 0.0000
Ni 0.5000 0.5000 0.5000
N 0.0000 0.0000 0.0000

Results
**Raw total energy**: -9.295 eV/atom
**DOS(E_F)**: 7.71 states/eV per cell
**Uncorrected formation energy**: -0.309 eV/atom
**Crystal system**: cubic

Record 8
First-principles (PBE) data for a geometry-optimized Pm12Ga6Ir structure, as listed in Alexandria via LeMat-Bulk.

Cell lengths 8.6068, 8.6068, 8.6068 Å; angles 99.52, 99.52, 99.52 degrees
Atoms (fractional coordinates):
Pm 0.0382 0.9318 0.6812
Pm 0.0682 0.3188 0.9618
Pm 0.1812 0.5668 0.4300
Pm 0.3188 0.9618 0.0682
Pm 0.4300 0.1812 0.5668
Pm 0.4332 0.5700 0.8188
Pm 0.5668 0.4300 0.1812
Pm 0.5700 0.8188 0.4332
Pm 0.6812 0.0382 0.9318
Pm 0.8188 0.4332 0.5700
Pm 0.9318 0.6812 0.0382
Pm 0.9618 0.0682 0.3188
Ga 0.1363 0.3007 0.6260
Ga 0.3007 0.6260 0.1363
Ga 0.3740 0.8637 0.6993
Ga 0.6260 0.1363 0.3007
Ga 0.6993 0.3740 0.8637
Ga 0.8637 0.6993 0.3740
Ir 0.0000 0.0000 0.0000

Results
**Raw total energy**: -4.678 eV/atom
**DOS(E_F)**: 26.91 states/eV per cell
**Crystal system**: trigonal